Record 1
VASP calculation (PBE) on a relaxed Cd2Pd6Pt crystal.

Properties
* spin magnetization: 0.00 μB per cell
* energy above the lowest structure with this stoichiometry: 0.84 eV/f.u.
* formation energy from the elements: -112 meV per atom
* Fermi-level density of states: 0.875 states/eV/atom

abc: 14.1270 7.6476 2.7976
angles: 90.00 90.60 90.00
Space group C2/m (No. 12)
Asymmetric unit:
Cd 0.1826 0.0000 0.4958 x4
Pd 0.0000 0.1813 0.5000 x4
Pd 0.1614 0.3189 0.9967 x8
Pt 0.0000 0.5000 0.0000 x2

---

Record 2
VASP calculation (PBE) on a relaxed HfZnCoB2 crystal.

Properties
* spin magnetization: 0.00 μB per cell
* formation energy from the elements: 544 meV per atom
* Fermi-level density of states: 0.813 states/eV/atom

abc: 3.8638 3.8638 4.7192
angles: 90.00 90.00 90.00
Space group P4/mmm (No. 123)
Asymmetric unit:
Hf 0.0000 0.0000 0.0000 x1
Zn 0.5000 0.5000 0.0000 x1
Co 0.0000 0.0000 0.5000 x1
B 0.0000 0.5000 0.5000 x2

---

Copy entry 1 word for word.
VASP calculation (PBE) on a relaxed Cd2Pd6Pt crystal.

Properties
* spin magnetization: 0.00 μB per cell
* energy above the lowest structure with this stoichiometry: 0.84 eV/f.u.
* formation energy from the elements: -112 meV per atom
* Fermi-level density of states: 0.875 states/eV/atom

abc: 14.1270 7.6476 2.7976
angles: 90.00 90.60 90.00
Space group C2/m (No. 12)
Asymmetric unit:
Cd 0.1826 0.0000 0.4958 x4
Pd 0.0000 0.1813 0.5000 x4
Pd 0.1614 0.3189 0.9967 x8
Pt 0.0000 0.5000 0.0000 x2

---

Copy entry 1 word for word.
VASP calculation (PBE) on a relaxed Cd2Pd6Pt crystal.

Properties
* spin magnetization: 0.00 μB per cell
* energy above the lowest structure with this stoichiometry: 0.84 eV/f.u.
* formation energy from the elements: -112 meV per atom
* Fermi-level density of states: 0.875 states/eV/atom

abc: 14.1270 7.6476 2.7976
angles: 90.00 90.60 90.00
Space group C2/m (No. 12)
Asymmetric unit:
Cd 0.1826 0.0000 0.4958 x4
Pd 0.0000 0.1813 0.5000 x4
Pd 0.1614 0.3189 0.9967 x8
Pt 0.0000 0.5000 0.0000 x2

---

Copy entry 2 word for word.
VASP calculation (PBE) on a relaxed HfZnCoB2 crystal.

Properties
* spin magnetization: 0.00 μB per cell
* formation energy from the elements: 544 meV per atom
* Fermi-level density of states: 0.813 states/eV/atom

abc: 3.8638 3.8638 4.7192
angles: 90.00 90.00 90.00
Space group P4/mmm (No. 123)
Asymmetric unit:
Hf 0.0000 0.0000 0.0000 x1
Zn 0.5000 0.5000 0.0000 x1
Co 0.0000 0.0000 0.5000 x1
B 0.0000 0.5000 0.5000 x2

---

Please write out number 1 again, unchanged.
VASP calculation (PBE) on a relaxed Cd2Pd6Pt crystal.

Properties
* spin magnetization: 0.00 μB per cell
* energy above the lowest structure with this stoichiometry: 0.84 eV/f.u.
* formation energy from the elements: -112 meV per atom
* Fermi-level density of states: 0.875 states/eV/atom

abc: 14.1270 7.6476 2.7976
angles: 90.00 90.60 90.00
Space group C2/m (No. 12)
Asymmetric unit:
Cd 0.1826 0.0000 0.4958 x4
Pd 0.0000 0.1813 0.5000 x4
Pd 0.1614 0.3189 0.9967 x8
Pt 0.0000 0.5000 0.0000 x2